No. 1
11
Lattice="-1.6344 4.7073 8.8772 1.6344 -4.7073 8.8772 1.6344 4.7073 -8.8772" Properties=species:S:1:pos:R:3 comment="Sm4Mg3Ag4 (PBE-GGA, optimized geometry)" dft_energy_ev_per_atom=-3.267 pbc="T T T"
Sm 1.6344 -3.0093 6.0361
Sm 0.0000 1.6980 2.8412
Sm 1.6344 3.0093 6.0361
Sm 0.0000 7.7167 2.8412
Mg 1.6344 0.0000 0.0000
Mg 0.0000 0.0000 7.2655
Mg 0.0000 0.0000 10.4889
Ag 1.6344 0.0000 4.9509
Ag 0.0000 2.8655 0.0000
Ag 0.0000 6.5491 0.0000
Ag 0.0000 4.7073 3.9263

No. 2
16
Lattice="7.3331 -4.2332 0.0000 7.3331 4.2332 0.0000 -4.8898 0.0000 6.9585" Properties=species:S:1:pos:R:3 comment="AcLa4Ho3Se8 (PBE-GGA, optimized geometry)" e_form_raw_ev_per_atom=-1.8647 pbc="T T T"
Ac 0.0000 0.0000 0.0000
La -2.4449 0.0000 3.4793
La 1.2217 2.1166 3.4793
La 1.2217 -2.1166 3.4793
La 4.8883 0.0000 3.4793
Ho 3.6666 2.1166 0.0000
Ho 3.6666 -2.1166 0.0000
Ho 7.3331 0.0000 0.0000
Se 2.5581 0.0000 1.6486
Se 6.0569 2.0255 1.6574
Se 0.0071 0.0000 5.3671
Se 3.7196 2.0255 5.3011
Se 6.0569 -2.0255 1.6574
Se 9.7694 0.0000 1.5914
Se 3.7196 -2.0255 5.3011
Se 7.2184 0.0000 5.3099

No. 3
4
Lattice="0.0000 3.4998 3.4998 3.4998 0.0000 3.4998 3.4998 3.4998 0.0000" Properties=species:S:1:pos:R:3 comment="CaGa2F (PBE-GGA, optimized geometry)" e_form_raw_ev_per_atom=-0.4610 de_polymorph_ev_per_atom=0.837 pbc="T T T"
Ca 0.0000 0.0000 0.0000
Ga 1.7499 1.7499 1.7499
Ga 5.2497 5.2497 5.2497
F 3.4998 3.4998 3.4998

No. 4
12
Lattice="2.7406 1.5823 8.9277 -2.7406 1.5823 8.9277 0.0000 -3.1646 8.9277" Properties=species:S:1:pos:R:3 comment="Pm3InPt8 (PBE-GGA, optimized geometry)" dft_energy_ev_per_atom=-6.401 pbc="T T T"
Pm 0.0000 0.0000 0.0000
Pm 0.0000 0.0000 3.4396
Pm 0.0000 0.0000 16.5014
In 0.0000 0.0000 13.1510
Pt -1.3755 -0.7942 10.5440
Pt 0.0000 -1.5936 6.1212
Pt -1.3801 0.7968 6.1212
Pt 0.0000 0.0000 8.3386
Pt 1.3755 -0.7942 10.5440
Pt 0.0000 1.5883 10.5440
Pt 1.3801 0.7968 6.1212
Pt 0.0000 0.0000 21.7348

No. 5
3
Lattice="0.0000 2.5411 6.0840 1.7264 0.0000 6.0840 1.7264 2.5411 0.0000" Properties=species:S:1:pos:R:3 comment="ZrTcAs (PBE-GGA, optimized geometry)" de_polymorph_ev_per_atom=0.686 pbc="T T T"
Zr 0.0000 0.0000 0.0000
Tc 1.7264 2.5411 3.8913
As 1.7264 2.5411 8.1779

No. 6
4
Lattice="4.4546 -1.5456 0.0000 4.4546 1.5456 0.0000 -0.7562 0.0000 4.3595" Properties=species:S:1:pos:R:3 comment="NiAsW2 (PBE-GGA, optimized geometry)" dft_energy_ev_per_atom=-8.813 pbc="T T T"
Ni 0.0000 0.0000 0.0000
As 4.0765 0.0000 2.1798
W 1.7132 0.0000 3.3317
W 6.4398 0.0000 1.0278